PmScSi | GGA-PBE | optimized geometry

a b c (Å): 4.285 4.285 7.834
angles (deg): 90.00 90.00 90.00
Element x y z (fractional)
Pm  0.250  0.250  0.145
Pm  0.750  0.750  0.855
Sc  0.250  0.750  0.500
Sc  0.750  0.250  0.500
Si  0.250  0.250  0.740
Si  0.750  0.750  0.260

=====

PmScSi | GGA-PBE | optimized geometry

a b c (Å): 3.736 3.736 9.823
angles (deg): 90.00 90.00 90.00
Element x y z (fractional)
Pm  0.000  0.000  0.000
Pm  0.500  0.500  0.500
Sc  0.000  0.000  0.713
Sc  0.500  0.500  0.213
Si  0.000  0.000  0.319
Si  0.500  0.500  0.819

=====

Pm5ScSi4 | GGA-PBE | optimized geometry

a b c (Å): 8.172 8.172 6.812
angles (deg): 90.90 90.90 35.08
Element x y z (fractional)
Pm  0.000  0.000  0.000
Pm  0.334  0.334  0.492
Pm  0.337  0.337  0.995
Pm  0.663  0.663  0.005
Pm  0.666  0.666  0.508
Sc  0.000  0.000  0.500
Si  0.173  0.173  0.751
Si  0.493  0.493  0.725
Si  0.507  0.507  0.275
Si  0.827  0.827  0.249

=====

| no. | density of states at the Fermi level (states/eV/cell) | E (eV per atom) |
| --- | --- | --- |
| 1 | 6.34 | -6.11 |
| 2 | 8.18 | -5.81 |
| 3 | 5.11 | -5.66 |